Record 1
AcSm8Er3: optimized geometry, GGA-PBE.

Geometry as POSCAR:
```
AcSm8Er3
1.0
-3.449 -3.435 -4.017
-0.898 -0.575 6.220
-8.047 8.518 -0.374
Ac Sm Er
1 8 3
direct
0.000 0.000 0.500 Ac
0.663 0.663 0.244 Sm
0.667 0.333 0.500 Sm
0.663 0.000 0.756 Sm
0.000 0.337 0.244 Sm
0.333 0.667 0.500 Sm
0.337 0.000 0.244 Sm
0.337 0.337 0.756 Sm
0.000 0.663 0.756 Sm
0.667 0.333 0.000 Er
0.333 0.667 0.000 Er
0.000 0.000 0.000 Er
```

Values from the calculation:
* DOS(E_F): 1.2035 states/eV/atom
* symmetry: No. 162
* final energy: -4.61 eV per atom
* energy of formation from the pure elements: 0.020 eV/atom
* total magnetization: 0.000 μB per cell

=====

Record 2
Ac2Sm9Er: optimized geometry, GGA-PBE.

Geometry as POSCAR:
```
Ac2Sm9Er
1.0
5.197 0.000 0.000
0.000 5.197 0.000
0.000 0.000 15.604
Ac Er Sm
2 1 9
direct
0.000 0.000 0.330 Ac
0.000 0.000 0.670 Ac
0.000 0.000 0.000 Er
0.500 0.000 0.840 Sm
0.500 0.500 0.670 Sm
0.000 0.500 0.840 Sm
0.500 0.000 0.500 Sm
0.500 0.500 0.000 Sm
0.000 0.500 0.160 Sm
0.500 0.000 0.160 Sm
0.500 0.500 0.330 Sm
0.000 0.500 0.500 Sm
```

Values from the calculation:
* DOS(E_F): 1.7236 states/eV/atom
* symmetry: No. 123
* final energy: -4.57 eV per atom
* energy of formation from the pure elements: 0.035 eV/atom
* total magnetization: 0.000 μB per cell

=====

Record 3
Ac3Sm8Er: optimized geometry, GGA-PBE.

Geometry as POSCAR:
```
Ac3Sm8Er
1.0
-4.080 3.218 -7.550
8.295 -0.612 2.820
1.276 -8.671 0.603
Ac Sm Er
3 8 1
direct
0.915 0.441 0.524 Ac
0.421 0.804 0.386 Ac
0.419 0.067 0.653 Ac
0.909 0.855 0.608 Sm
0.915 0.179 0.261 Sm
0.910 0.783 0.191 Sm
0.411 0.138 0.049 Sm
0.415 0.721 0.978 Sm
0.419 0.470 0.724 Sm
0.927 0.532 0.945 Sm
0.415 0.395 0.307 Sm
0.925 0.115 0.876 Er
```

Values from the calculation:
* DOS(E_F): 1.5495 states/eV/atom
* symmetry: No. 1
* final energy: -4.48 eV per atom
* energy of formation from the pure elements: 0.073 eV/atom
* total magnetization: 0.000 μB per cell

=====

Record 4
AcTb2Sm6Er: optimized geometry, GGA-PBE.

Geometry as POSCAR:
```
AcTb2Sm6Er
1.0
9.192 -2.068 -2.147
1.001 8.721 -2.084
1.001 -2.406 8.638
Sm Tb Ac Er
12 4 2 2
direct
0.617 0.493 0.712 Sm
0.185 0.559 0.012 Sm
0.555 0.753 0.129 Sm
0.685 0.012 0.559 Sm
0.055 0.129 0.753 Sm
0.815 0.441 0.988 Sm
0.945 0.871 0.247 Sm
0.445 0.247 0.871 Sm
0.383 0.507 0.288 Sm
0.315 0.988 0.441 Sm
0.117 0.712 0.493 Sm
0.883 0.288 0.507 Sm
0.047 0.317 0.204 Tb
0.453 0.796 0.683 Tb
0.547 0.204 0.317 Tb
0.953 0.683 0.796 Tb
0.750 0.026 0.974 Ac
0.250 0.974 0.026 Ac
0.250 0.412 0.588 Er
0.750 0.588 0.412 Er
```

Values from the calculation:
* DOS(E_F): 1.4022 states/eV/atom
* symmetry: No. 15
* final energy: -4.50 eV per atom
* energy of formation from the pure elements: 0.123 eV/atom
* total magnetization: 0.000 μB per cell

=====

Record 5
AcTb5Sm2Er: optimized geometry, GGA-PBE.

Geometry as POSCAR:
```
AcTb5Sm2Er
1.0
-5.768 -6.752 -0.519
5.221 -4.868 5.308
-3.477 8.537 3.796
Sm Tb Ac Er
4 10 2 2
direct
0.116 0.384 0.000 Sm
0.884 0.616 0.000 Sm
0.616 0.116 0.000 Sm
0.384 0.884 0.000 Sm
0.337 0.837 0.263 Tb
0.926 0.426 0.263 Tb
0.574 0.663 0.737 Tb
0.837 0.926 0.263 Tb
0.426 0.337 0.263 Tb
0.163 0.074 0.737 Tb
0.000 0.000 0.000 Tb
0.074 0.574 0.737 Tb
0.500 0.500 0.000 Tb
0.663 0.163 0.737 Tb
0.750 0.750 0.500 Ac
0.250 0.250 0.500 Ac
0.250 0.750 0.500 Er
0.750 0.250 0.500 Er
```

Values from the calculation:
* DOS(E_F): 1.0485 states/eV/atom
* symmetry: No. 140
* final energy: -4.32 eV per atom
* energy of formation from the pure elements: 0.267 eV/atom
* total magnetization: 0.000 μB per cell

=====

Record 6
AcTb2Sm5Er: optimized geometry, GGA-PBE.

Geometry as POSCAR:
```
AcTb2Sm5Er
1.0
-5.342 5.565 -4.994
3.374 -3.683 -7.714
-4.462 -6.098 6.433
Sm Tb Er Ac
10 4 2 2
direct
0.172 0.074 0.747 Sm
0.672 0.172 0.747 Sm
0.828 0.926 0.253 Sm
0.426 0.328 0.253 Sm
0.000 0.000 0.000 Sm
0.074 0.574 0.747 Sm
0.574 0.672 0.747 Sm
0.500 0.500 0.000 Sm
0.926 0.426 0.253 Sm
0.328 0.828 0.253 Sm
0.388 0.888 0.000 Tb
0.112 0.388 0.000 Tb
0.888 0.612 0.000 Tb
0.612 0.112 0.000 Tb
0.750 0.250 0.500 Er
0.250 0.750 0.500 Er
0.750 0.750 0.500 Ac
0.250 0.250 0.500 Ac
```

Values from the calculation:
* DOS(E_F): 1.4706 states/eV/atom
* symmetry: No. 140
* final energy: -4.33 eV per atom
* energy of formation from the pure elements: 0.281 eV/atom
* total magnetization: 0.000 μB per cell

=====

Record 7
AcTb2SmEr5: optimized geometry, GGA-PBE.

Geometry as POSCAR:
```
AcTb2SmEr5
1.0
8.889 0.000 0.000
0.000 8.889 0.000
-4.444 -4.444 7.579
Tb Er Sm Ac
4 10 2 2
direct
0.386 0.886 0.000 Tb
0.114 0.386 0.000 Tb
0.886 0.614 0.000 Tb
0.614 0.114 0.000 Tb
0.500 0.500 0.000 Er
0.000 0.000 0.000 Er
0.575 0.668 0.744 Er
0.168 0.075 0.744 Er
0.925 0.425 0.256 Er
0.332 0.832 0.256 Er
0.832 0.925 0.256 Er
0.425 0.332 0.256 Er
0.668 0.168 0.744 Er
0.075 0.575 0.744 Er
0.750 0.250 0.500 Sm
0.250 0.750 0.500 Sm
0.250 0.250 0.500 Ac
0.750 0.750 0.500 Ac
```

Values from the calculation:
* DOS(E_F): 1.2156 states/eV/atom
* symmetry: No. 140
* final energy: -4.27 eV per atom
* energy of formation from the pure elements: 0.270 eV/atom
* total magnetization: 0.000 μB per cell

=====

Record 8
AcTbSm2Er: optimized geometry, GGA-PBE.

Geometry as POSCAR:
```
AcTbSm2Er
1.0
-3.311 -4.748 0.976
7.983 -5.733 -0.809
-0.733 1.771 6.129
Sm Tb Ac Er
4 2 2 2
direct
0.250 0.302 0.568 Sm
0.250 0.502 0.164 Sm
0.750 0.498 0.836 Sm
0.750 0.698 0.432 Sm
0.250 0.894 0.372 Tb
0.750 0.106 0.628 Tb
0.250 0.106 0.970 Ac
0.750 0.894 0.030 Ac
0.750 0.311 0.245 Er
0.250 0.689 0.755 Er
```

Values from the calculation:
* DOS(E_F): 1.7417 states/eV/atom
* symmetry: No. 11
* final energy: -4.50 eV per atom
* energy of formation from the pure elements: 0.044 eV/atom
* total magnetization: 0.001 μB per cell

=====

Q: What is the formula in the seventh record?
A: AcTb2SmEr5